CdAsP2F | PBEsol | optimized geometry

The value obtained for the energy relative to the elements, uncorrected is 0.4352 eV per atom. As for the density of states at the Fermi level: 1.7 states/eV/cell. Its crystal system is tetragonal. The space group is No. 123.

Unit cell a=4.424 b=4.424 c=4.547 alpha=90.00 beta=90.00 gamma=90.00
Sites, in units of the cell vectors:
F (0.000, 0.000, 0.000)
As (0.500, 0.500, 0.500)
Cd (0.000, 0.000, 0.500)
P (0.000, 0.500, 0.000)
P (0.500, 0.000, 0.000)

Mg3CrIn | PBEsol | optimized geometry

As for the density of states at the Fermi level: 2.1 states/eV/cell. As for the formation energy: 840.3 meV per atom. Its crystal system is cubic. The space group is No. 221.

Unit cell a=5.246 b=5.246 c=5.246 alpha=90.00 beta=90.00 gamma=90.00
Each line ends with the local moment (μB).
Sites, in units of the cell vectors:
In (0.000, 0.000, 0.000)  0.06
Cr (0.500, 0.500, 0.500)  4.21
Mg (0.000, 0.500, 0.000)  0.01
Mg (0.500, 0.000, 0.000)  0.01
Mg (0.000, 0.000, 0.500)  0.01

Ge3N4 | PBEsol | optimized geometry

The value obtained for the energy relative to the elements, uncorrected is -0.1629 eV per atom. As for the density of states at the Fermi level: 0.0 states/eV/cell. Its crystal system is cubic. The calculation puts the distance to the lowest polymorph of the same formula at 52 meV/atom. The space group is No. 220.

Unit cell a=5.893 b=5.893 c=5.893 alpha=109.47 beta=109.47 gamma=109.47
Sites, in units of the cell vectors:
N (0.500, 0.448, 0.500)
Ge (0.875, 0.125, 0.750)
Ge (0.250, 0.875, 0.625)
Ge (0.750, 0.625, 0.875)
Ge (0.375, 0.750, 0.125)
N (0.448, 0.000, 0.000)
N (0.948, 0.000, 0.000)
N (0.552, 0.552, 0.052)
N (0.500, 0.948, 0.500)
N (0.000, 0.500, 0.448)
Ge (0.625, 0.375, 0.250)
N (0.000, 0.500, 0.948)
N (0.052, 0.052, 0.552)
Ge (0.125, 0.250, 0.375)

MnZnSi | PBEsol | optimized geometry

The value obtained for the energy relative to the elements, uncorrected is 0.0723 eV per atom. As for the density of states at the Fermi level: 1.9 states/eV/cell. Its crystal system is trigonal. The space group is No. 156.

Unit cell a=2.693 b=3.950 c=3.950 alpha=120.00 beta=90.00 gamma=90.00
Each line ends with the local moment (μB).
Sites, in units of the cell vectors:
Zn (0.378, 0.333, 0.667)  -0.03
Mn (0.912, 0.000, 0.000)  0.72
Si (0.710, 0.667, 0.333)  -0.03

Te2PBr | PBEsol | optimized geometry

The value obtained for the energy relative to the elements, uncorrected is 0.1760 eV per atom. As for the density of states at the Fermi level: 2.6 states/eV/cell. Its crystal system is trigonal. The calculation puts the distance to the lowest polymorph of the same formula at 92 meV/atom. The space group is No. 160.

Unit cell a=3.620 b=3.620 c=9.197 alpha=78.65 beta=78.65 gamma=60.00
Sites, in units of the cell vectors:
Te (0.981, 0.981, 0.057)
P (0.254, 0.254, 0.237)
Te (0.746, 0.746, 0.761)
Br (0.518, 0.518, 0.445)

P2PbCl | PBEsol | optimized geometry

The value obtained for the energy relative to the elements, uncorrected is -0.1570 eV per atom. As for the density of states at the Fermi level: 0.9 states/eV/cell. Its crystal system is monoclinic. The calculation puts the distance to the lowest polymorph of the same formula at 0 meV/atom. The space group is No. 12.

Unit cell a=3.315 b=4.903 c=6.103 alpha=99.91 beta=105.76 gamma=90.00
Sites, in units of the cell vectors:
P (0.766, 0.866, 0.533)
Pb (0.500, 0.000, 0.000)
P (0.234, 0.134, 0.467)
Cl (0.000, 0.500, 0.000)